No. 1
Computed, not measured: crystalline HgH3Pt at its relaxed geometry at the GGA-PBE level of DFT.

Lattice parameters (Å, degrees): 3.7748 3.7748 3.7748 90.00 90.00 90.00
Fractional positions:
1 H 0.0000 0.5000 0.0000
2 H 0.0000 0.0000 0.5000
3 H 0.5000 0.0000 0.0000
4 Hg 0.0000 0.0000 0.0000
5 Pt 0.5000 0.5000 0.5000

Summary:
* total magnetic moment: 0.0 μB per cell
* energy above the lowest structure with this stoichiometry: 987.8 meV/atom
* space group: No. 221



No. 2
Computed, not measured: crystalline Hg3H3Pt2 at its relaxed geometry at the GGA-PBE level of DFT.

Lattice parameters (Å, degrees): 3.4971 7.6379 9.7138 90.00 90.00 103.24
Fractional positions:
1 Hg 0.9270 0.8539 0.3970
2 Hg 0.0730 0.1461 0.8970
3 Hg 0.9270 0.8539 0.1030
4 Hg 0.0730 0.1461 0.6030
5 Hg 0.5841 0.1682 0.2500
6 Hg 0.4159 0.8318 0.7500
7 H 0.7372 0.4744 0.4269
8 H 0.2628 0.5256 0.9269
9 H 0.7372 0.4744 0.0731
10 H 0.2628 0.5256 0.5731
11 H 0.2685 0.5370 0.2500
12 H 0.7315 0.4630 0.7500
13 Pt 0.7958 0.5916 0.9003
14 Pt 0.2042 0.4084 0.4003
15 Pt 0.7958 0.5916 0.5997
16 Pt 0.2042 0.4084 0.0997

Summary:
* total magnetic moment: 0.0 μB per cell
* space group: No. 63



No. 3
Computed, not measured: crystalline Hg3HPt at its relaxed geometry at the GGA-PBE level of DFT.

Lattice parameters (Å, degrees): 5.3233 5.3233 5.3233 90.00 90.00 90.00
Fractional positions:
1 H 0.5000 0.5000 0.5000
2 Hg 0.0000 0.5000 0.0000
3 Hg 0.0000 0.0000 0.5000
4 Hg 0.5000 0.0000 0.0000
5 Pt 0.0000 0.0000 0.0000

Summary:
* total magnetic moment: 0.9 μB per cell
* energy above the lowest structure with this stoichiometry: 370.1 meV/atom
* space group: No. 221



no.,E (eV per cell)
1,-11.16
2,-44.83
3,-8.21